# TaHgRh2 PBE-GGA relaxed
data_TaHgRh2
_symmetry_space_group_name_H-M 'P 1'
_symmetry_Int_Tables_number 1
_cell_length_a 5.129
_cell_length_b 5.129
_cell_length_c 5.129
_cell_angle_alpha 135.57
_cell_angle_beta 135.57
_cell_angle_gamma 64.64
loop_
_symmetry_equiv_pos_as_xyz
'x,y,z'
loop_
_atom_site_label
_atom_site_type_symbol
_atom_site_fract_x
_atom_site_fract_y
_atom_site_fract_z
Ta1 Ta 0.000 0.000 0.000
Hg1 Hg 0.250 0.750 0.500
Rh1 Rh 0.500 0.500 0.000
Rh2 Rh 0.750 0.250 0.500
# Size of the total moment (μB per atom): 0.00
# Calculated volume (Å³ per atom): 16.3
# Energy relative to the elements (eV/f.u.): -0.692
# SG: I-4m2 (119)

# Pm2MnGa3Ir4 PBE-GGA relaxed
data_Pm2MnGa3Ir4
_symmetry_space_group_name_H-M 'P 1'
_symmetry_Int_Tables_number 1
_cell_length_a 4.189
_cell_length_b 4.189
_cell_length_c 10.631
_cell_angle_alpha 90.00
_cell_angle_beta 90.00
_cell_angle_gamma 90.00
loop_
_symmetry_equiv_pos_as_xyz
'x,y,z'
loop_
_atom_site_label
_atom_site_type_symbol
_atom_site_fract_x
_atom_site_fract_y
_atom_site_fract_z
Pm1 Pm 0.000 0.500 0.241
Pm2 Pm 0.500 0.000 0.759
Mn1 Mn 0.000 0.000 0.500
Ga1 Ga 0.000 0.500 0.872
Ga2 Ga 0.500 0.000 0.128
Ga3 Ga 0.500 0.500 0.500
Ir1 Ir 0.000 0.000 0.000
Ir2 Ir 0.000 0.500 0.638
Ir3 Ir 0.500 0.000 0.362
Ir4 Ir 0.500 0.500 0.000
# Size of the total moment (μB per atom): 0.41
# Calculated volume (Å³ per atom): 18.7
# Energy relative to the elements (eV/f.u.): -6.136
# SG: P-4m2 (115)

# AlRh3Cl PBE-GGA relaxed
data_AlRh3Cl
_symmetry_space_group_name_H-M 'P 1'
_symmetry_Int_Tables_number 1
_cell_length_a 4.392
_cell_length_b 4.392
_cell_length_c 4.392
_cell_angle_alpha 90.00
_cell_angle_beta 90.00
_cell_angle_gamma 90.00
loop_
_symmetry_equiv_pos_as_xyz
'x,y,z'
loop_
_atom_site_label
_atom_site_type_symbol
_atom_site_fract_x
_atom_site_fract_y
_atom_site_fract_z
Al1 Al 0.000 0.000 0.000
Rh1 Rh 0.000 0.500 0.500
Rh2 Rh 0.500 0.000 0.500
Rh3 Rh 0.500 0.500 0.000
Cl1 Cl 0.500 0.500 0.500
# Size of the total moment (μB per atom): 0.00
# Calculated volume (Å³ per atom): 16.9
# SG: Pm-3m (221)
# Energy above the most stable polymorph in this dataset (meV/atom): 0